PBE with a Hubbard U TaCoO3, relaxed; DFT total energy = -8.345 eV/atom
1.0
2.650 1.530 4.583
-2.650 1.530 4.583
0.000 -3.060 4.583
O Ta Co
6 2 2
direct
0.937 0.224 0.576 O
0.776 0.424 0.063 O
0.576 0.937 0.224 O
0.063 0.776 0.424 O
0.224 0.576 0.937 O
0.424 0.063 0.776 O
0.157 0.157 0.157 Ta
0.843 0.843 0.843 Ta
0.653 0.653 0.653 Co
0.347 0.347 0.347 Co